The following is a DFT calculation (PBE-GGA) of ZrTaFe2 after structural relaxation. Values from VASP.

```
&SYSTEM
  ibrav = 0, nat = 4, ntyp = 3
/
ATOMIC_SPECIES
Fe 55.84 Fe.upf
Zr 91.22 Zr.upf
Ta 180.95 Ta.upf
CELL_PARAMETERS angstrom
3.103 0.234 0.000
-0.234 3.103 0.000
0.000 0.000 6.573
ATOMIC_POSITIONS crystal
Fe 0.500 0.500 0.237
Fe 0.000 0.000 0.037
Zr 0.500 0.500 0.770
Ta 0.000 0.000 0.456
```

## Properties
Calculated total energy (eV per cell): -37.3
Symmetry: No. 99
Volume (Å³ per atom): 15.911


The following is a DFT calculation (PBE-GGA) of Pm3Pr5Ho3 after structural relaxation. Values from VASP.

```
&SYSTEM
  ibrav = 0, nat = 11, ntyp = 3
/
ATOMIC_SPECIES
Pr 140.91 Pr.upf
Pm 145.00 Pm.upf
Ho 164.93 Ho.upf
CELL_PARAMETERS angstrom
-2.850 -2.119 -4.236
7.636 -5.816 -2.229
-6.938 -3.155 6.246
ATOMIC_POSITIONS crystal
Pr 0.500 0.268 0.268
Pm 0.000 0.572 0.000
Pm 0.000 0.000 0.572
Pr 0.500 0.732 0.000
Ho 0.500 0.000 0.366
Ho 0.500 0.634 0.634
Pr 0.500 0.333 0.667
Pr 0.500 0.000 0.732
Pm 0.000 0.428 0.428
Ho 0.500 0.366 0.000
Pr 0.500 0.667 0.333
```

## Properties
Excess energy over the best structure of this formula in the dataset (meV/atom): 434
Calculated total energy (eV per cell): -43.8
Symmetry: No. 189
Volume (Å³ per atom): 42.258


The following is a DFT calculation (PBE-GGA) of CsNa3Hf after structural relaxation. Values from VASP.

```
&SYSTEM
  ibrav = 0, nat = 5, ntyp = 3
/
ATOMIC_SPECIES
Na 22.99 Na.upf
Hf 178.49 Hf.upf
Cs 132.91 Cs.upf
CELL_PARAMETERS angstrom
6.447 0.000 0.000
0.000 6.447 0.000
0.000 0.000 6.447
ATOMIC_POSITIONS crystal
Na 0.500 0.000 0.000
Hf 0.000 0.000 0.000
Na 0.000 0.000 0.500
Na 0.000 0.500 0.000
Cs 0.500 0.500 0.500
```

## Properties
Calculated total energy (eV per cell): -9.7
Symmetry: No. 221
Volume (Å³ per atom): 53.595


The lowest calculated total energy belongs to which entry?
Pm3Pr5Ho3


Number 2 is which compound?
Pm3Pr5Ho3


The lowest calculated total energy belongs to which entry?
Pm3Pr5Ho3